# 1
AlBC: relaxed, PBE.

Lattice parameters (Å, degrees): 4.1957 2.9987 4.7545 90.00 105.56 90.00
Last column: nearest neighbours and their distance in Å.
Fractional positions:
C (0.1366, 0.5000, 0.5007)  1 C 1.39
C (0.8849, 0.5000, 0.6399)  1 C 1.39
B (0.7306, 0.5000, 0.2831)  2 C 1.65-1.74, 2 B 1.75
B (0.5588, 0.0000, 0.1209)  2 B 1.75
Al (0.1596, 0.5000, 0.0598)  2 C 2.02-2.12, 2 B 2.21
Al (0.5088, 0.0000, 0.6272)  4 C 2.13-2.17, 1 B 2.30

Output
Energy of formation from the pure elements (eV per atom): 0.3639
Energy relative to the lowest polymorph listed for this composition (meV per atom): 383
DFT total energy (eV per cell): -37.10
Space-group type: Pm (6)

***

# 2
LaTl: relaxed, PBE.

Lattice parameters (Å, degrees): 6.3848 6.3848 6.6921 90.00 90.00 90.00
Last column: nearest neighbours and their distance in Å.
Fractional positions:
La (0.1843, 0.8157, 0.0000)  6 Tl 3.27-3.35, 1 La 3.33
La (0.6843, 0.6843, 0.5000)  6 Tl 3.27-3.35, 1 La 3.33
La (0.3157, 0.3157, 0.5000)  6 Tl 3.27-3.35, 1 La 3.33
La (0.8157, 0.1843, 0.0000)  6 Tl 3.27-3.35, 1 La 3.33
Tl (0.3222, 0.3222, 0.0000)  1 Tl 3.21, 6 La 3.27-3.35
Tl (0.8222, 0.1778, 0.5000)  1 Tl 3.21, 6 La 3.27-3.35
Tl (0.1778, 0.8222, 0.5000)  1 Tl 3.21, 6 La 3.27-3.35
Tl (0.6778, 0.6778, 0.0000)  1 Tl 3.21, 6 La 3.27-3.35

Output
Energy of formation from the pure elements (eV per atom): -0.2069
DFT total energy (eV per cell): -30.83
Space-group type: P4_2/mnm (136)